VASP calculation (PBE-GGA) on a geometry-optimized SrBiOs3 structure.

The space group is Pm-3m (No. 221) and the conventional cell measures 5.0537, 5.0537 and 5.0537 Å, with angles of 90.00, 90.00 and 90.00 degrees. The asymmetric unit holds Sr at (0.0000, 0.0000, 0.0000), Bi at (0.5000, 0.5000, 0.5000) and Os at (0.0000, 0.5000, 0.5000).

As for the density: 11.2 g cm⁻³. The calculation puts the total DFT energy (no corrections) at -28.49 eV/cell. For the calculated volume, the calculation gives 129.1 Å³ per cell.